Record 1
# PBE PmSn2Pd, optimized geometry
# DOS at the Fermi energy (states/eV/cell): 2.4
# Spin magnetization (μB/cell): 0.0
# Symmetry: P4/mmm, No. 123
# Calculated volume (Å³/atom): 23.349
# ΔE to the lowest computed polymorph (eV per atom): 0.102
data_PmSn2Pd
_cell_length_a 4.546
_cell_length_b 4.546
_cell_length_c 4.518
_cell_angle_alpha 90.00
_cell_angle_beta 90.00
_cell_angle_gamma 90.00
_space_group_name_H-M_alt 'P 1'
_space_group_IT_number 1
loop_
_space_group_symop_operation_xyz
'x,y,z'
loop_
_atom_site_label
_atom_site_type_symbol
_atom_site_fract_x
_atom_site_fract_y
_atom_site_fract_z
_atom_site_occupancy
Pm1 Pm 0.000 0.000 0.000 1
Sn1 Sn 0.000 0.500 0.500 1
Sn2 Sn 0.500 0.000 0.500 1
Pd1 Pd 0.500 0.500 0.000 1

Record 2
# PBE TlCd6Hg8, optimized geometry
# DOS at the Fermi energy (states/eV/cell): 4.7
# Spin magnetization (μB/cell): 0.0
# Symmetry: R-3, No. 148
# Calculated volume (Å³/atom): 26.094
# ΔE to the lowest computed polymorph (eV per atom): 0.000
data_TlCd6Hg8
_cell_length_a 7.533
_cell_length_b 7.533
_cell_length_c 7.533
_cell_angle_alpha 75.25
_cell_angle_beta 75.25
_cell_angle_gamma 75.25
_space_group_name_H-M_alt 'P 1'
_space_group_IT_number 1
loop_
_space_group_symop_operation_xyz
'x,y,z'
loop_
_atom_site_label
_atom_site_type_symbol
_atom_site_fract_x
_atom_site_fract_y
_atom_site_fract_z
_atom_site_occupancy
Tl1 Tl 0.000 0.000 0.000 1
Cd1 Cd 0.180 0.581 0.395 1
Cd2 Cd 0.395 0.180 0.581 1
Cd3 Cd 0.419 0.605 0.820 1
Cd4 Cd 0.581 0.395 0.180 1
Cd5 Cd 0.605 0.820 0.419 1
Cd6 Cd 0.820 0.419 0.605 1
Hg1 Hg 0.107 0.411 0.831 1
Hg2 Hg 0.169 0.893 0.589 1
Hg3 Hg 0.224 0.224 0.224 1
Hg4 Hg 0.411 0.831 0.107 1
Hg5 Hg 0.589 0.169 0.893 1
Hg6 Hg 0.776 0.776 0.776 1
Hg7 Hg 0.831 0.107 0.411 1
Hg8 Hg 0.893 0.589 0.169 1

Record 3
# PBE ThTe2Au, optimized geometry
# DOS at the Fermi energy (states/eV/cell): 8.6
# DFT total energy (eV per atom): -4.852
# Spin magnetization (μB/cell): 0.0
# Symmetry: R-3m, No. 166
# Calculated volume (Å³/atom): 37.281
data_ThTe2Au
_cell_length_a 4.352
_cell_length_b 4.352
_cell_length_c 27.277
_cell_angle_alpha 90.00
_cell_angle_beta 90.00
_cell_angle_gamma 120.00
_space_group_name_H-M_alt 'P 1'
_space_group_IT_number 1
loop_
_space_group_symop_operation_xyz
'x,y,z'
loop_
_atom_site_label
_atom_site_type_symbol
_atom_site_fract_x
_atom_site_fract_y
_atom_site_fract_z
_atom_site_occupancy
Th1 Th 0.000 0.000 0.000 1
Th2 Th 0.333 0.667 0.667 1
Th3 Th 0.667 0.333 0.333 1
Te1 Te 0.000 0.000 0.404 1
Te2 Te 0.000 0.000 0.596 1
Te3 Te 0.333 0.667 0.071 1
Te4 Te 0.333 0.667 0.263 1
Te5 Te 0.667 0.333 0.737 1
Te6 Te 0.667 0.333 0.929 1
Au1 Au 0.000 0.000 0.500 1
Au2 Au 0.333 0.667 0.167 1
Au3 Au 0.667 0.333 0.833 1

Record 4
# PBE Ba3InB9O18, optimized geometry
# DOS at the Fermi energy (states/eV/cell): 0.0
# DFT total energy (eV per atom): -7.643
# Spin magnetization (μB/cell): 0.0
# Symmetry: P6_3/m, No. 176
# Calculated volume (Å³/atom): 12.492
data_Ba3InB9O18
_cell_length_a 7.237
_cell_length_b 7.237
_cell_length_c 17.076
_cell_angle_alpha 90.00
_cell_angle_beta 90.00
_cell_angle_gamma 120.00
_space_group_name_H-M_alt 'P 1'
_space_group_IT_number 1
loop_
_space_group_symop_operation_xyz
'x,y,z'
loop_
_atom_site_label
_atom_site_type_symbol
_atom_site_fract_x
_atom_site_fract_y
_atom_site_fract_z
_atom_site_occupancy
Ba1 Ba 0.000 0.000 0.250 1
Ba2 Ba 0.000 0.000 0.750 1
Ba3 Ba 0.333 0.667 0.129 1
Ba4 Ba 0.333 0.667 0.371 1
Ba5 Ba 0.667 0.333 0.629 1
Ba6 Ba 0.667 0.333 0.871 1
In1 In 0.000 0.000 0.000 1
In2 In 0.000 0.000 0.500 1
B1 B 0.116 0.495 0.750 1
B2 B 0.168 0.721 0.578 1
B3 B 0.168 0.721 0.922 1
B4 B 0.279 0.447 0.578 1
B5 B 0.279 0.447 0.922 1
B6 B 0.379 0.884 0.750 1
B7 B 0.447 0.168 0.078 1
B8 B 0.447 0.168 0.422 1
B9 B 0.495 0.379 0.250 1
B10 B 0.505 0.621 0.750 1
B11 B 0.553 0.832 0.578 1
B12 B 0.553 0.832 0.922 1
B13 B 0.621 0.116 0.250 1
B14 B 0.721 0.553 0.078 1
B15 B 0.721 0.553 0.422 1
B16 B 0.832 0.279 0.078 1
B17 B 0.832 0.279 0.422 1
B18 B 0.884 0.505 0.250 1
O1 O 0.007 0.762 0.578 1
O2 O 0.007 0.762 0.922 1
O3 O 0.083 0.668 0.250 1
O4 O 0.121 0.506 0.579 1
O5 O 0.121 0.506 0.921 1
O6 O 0.167 0.710 0.750 1
O7 O 0.238 0.245 0.578 1
O8 O 0.238 0.245 0.922 1
O9 O 0.245 0.007 0.078 1
O10 O 0.245 0.007 0.422 1
O11 O 0.290 0.457 0.750 1
O12 O 0.332 0.415 0.250 1
O13 O 0.385 0.879 0.579 1
O14 O 0.385 0.879 0.921 1
O15 O 0.415 0.083 0.750 1
O16 O 0.457 0.167 0.250 1
O17 O 0.494 0.615 0.579 1
O18 O 0.494 0.615 0.921 1
O19 O 0.506 0.385 0.079 1
O20 O 0.506 0.385 0.421 1
O21 O 0.543 0.833 0.750 1
O22 O 0.585 0.917 0.250 1
O23 O 0.615 0.121 0.079 1
O24 O 0.615 0.121 0.421 1
O25 O 0.668 0.585 0.750 1
O26 O 0.710 0.543 0.250 1
O27 O 0.755 0.993 0.578 1
O28 O 0.755 0.993 0.922 1
O29 O 0.762 0.755 0.078 1
O30 O 0.762 0.755 0.422 1
O31 O 0.833 0.290 0.250 1
O32 O 0.879 0.494 0.079 1
O33 O 0.879 0.494 0.421 1
O34 O 0.917 0.332 0.750 1
O35 O 0.993 0.238 0.078 1
O36 O 0.993 0.238 0.422 1

Record 5
# PBE La3ZnN, optimized geometry
# DOS at the Fermi energy (states/eV/cell): 11.2
# Spin magnetization (μB/cell): 0.0
# Symmetry: P1, No. 1
# Calculated volume (Å³/atom): 25.713
# ΔE to the lowest computed polymorph (eV per atom): 0.079
data_La3ZnN
_cell_length_a 3.729
_cell_length_b 7.135
_cell_length_c 10.195
_cell_angle_alpha 84.88
_cell_angle_beta 79.46
_cell_angle_gamma 74.86
_space_group_name_H-M_alt 'P 1'
_space_group_IT_number 1
loop_
_space_group_symop_operation_xyz
'x,y,z'
loop_
_atom_site_label
_atom_site_type_symbol
_atom_site_fract_x
_atom_site_fract_y
_atom_site_fract_z
_atom_site_occupancy
La1 La 0.000 0.000 0.000 1
La2 La 0.007 0.560 0.425 1
La3 La 0.228 0.457 0.086 1
La4 La 0.237 0.888 0.635 1
La5 La 0.495 0.322 0.685 1
La6 La 0.764 0.126 0.347 1
Zn1 Zn 0.491 0.801 0.218 1
Zn2 Zn 0.755 0.636 0.851 1
N1 N 0.125 0.220 0.529 1
N2 N 0.374 0.110 0.141 1

Record 6
# PBE Tb2Dy7Sc, optimized geometry
# DOS at the Fermi energy (states/eV/cell): 14.7
# DFT total energy (eV per atom): -4.603
# Spin magnetization (μB/cell): 0.0
# Symmetry: Cmmm, No. 65
# Calculated volume (Å³/atom): 31.571
data_Tb2Dy7Sc
_cell_length_a 14.584
_cell_length_b 14.584
_cell_length_c 3.449
_cell_angle_alpha 90.00
_cell_angle_beta 90.00
_cell_angle_gamma 154.51
_space_group_name_H-M_alt 'P 1'
_space_group_IT_number 1
loop_
_space_group_symop_operation_xyz
'x,y,z'
loop_
_atom_site_label
_atom_site_type_symbol
_atom_site_fract_x
_atom_site_fract_y
_atom_site_fract_z
_atom_site_occupancy
Tb1 Tb 0.207 0.793 0.000 1
Tb2 Tb 0.793 0.207 0.000 1
Dy1 Dy 0.000 0.000 0.000 1
Dy2 Dy 0.159 0.353 0.000 1
Dy3 Dy 0.314 0.686 0.500 1
Dy4 Dy 0.353 0.159 0.000 1
Dy5 Dy 0.647 0.841 0.000 1
Dy6 Dy 0.686 0.314 0.500 1
Dy7 Dy 0.841 0.647 0.000 1
Sc1 Sc 0.500 0.500 0.500 1

Record 7
# PBE Ni2PbAu, optimized geometry
# DOS at the Fermi energy (states/eV/cell): 4.0
# DFT total energy (eV per atom): -4.465
# Spin magnetization (μB/cell): 0.0
# Symmetry: Pm, No. 6
# Calculated volume (Å³/atom): 16.668
data_Ni2PbAu
_cell_length_a 3.435
_cell_length_b 4.014
_cell_length_c 5.053
_cell_angle_alpha 90.00
_cell_angle_beta 106.85
_cell_angle_gamma 90.00
_space_group_name_H-M_alt 'P 1'
_space_group_IT_number 1
loop_
_space_group_symop_operation_xyz
'x,y,z'
loop_
_atom_site_label
_atom_site_type_symbol
_atom_site_fract_x
_atom_site_fract_y
_atom_site_fract_z
_atom_site_occupancy
Ni1 Ni 0.000 0.000 0.000 1
Ni2 Ni 0.123 0.500 0.311 1
Pb1 Pb 0.689 0.000 0.458 1
Au1 Au 0.439 0.500 0.879 1

Record 8
# PBE MnSn2Bi, optimized geometry
# DOS at the Fermi energy (states/eV/cell): 10.4
# DFT total energy (eV per atom): -4.971
# Spin magnetization (μB/cell): 16.6
# Symmetry: I-42d, No. 122
# Calculated volume (Å³/atom): 26.370
data_MnSn2Bi
_cell_length_a 4.309
_cell_length_b 4.309
_cell_length_c 22.727
_cell_angle_alpha 90.00
_cell_angle_beta 90.00
_cell_angle_gamma 90.00
_space_group_name_H-M_alt 'P 1'
_space_group_IT_number 1
loop_
_space_group_symop_operation_xyz
'x,y,z'
loop_
_atom_site_label
_atom_site_type_symbol
_atom_site_fract_x
_atom_site_fract_y
_atom_site_fract_z
_atom_site_occupancy
Mn1 Mn 0.000 0.000 0.000 1
Mn2 Mn 0.000 0.500 0.250 1
Mn3 Mn 0.500 0.000 0.750 1
Mn4 Mn 0.500 0.500 0.500 1
Sn1 Sn 0.242 0.250 0.125 1
Sn2 Sn 0.250 0.742 0.375 1
Sn3 Sn 0.250 0.758 0.875 1
Sn4 Sn 0.258 0.250 0.625 1
Sn5 Sn 0.742 0.750 0.625 1
Sn6 Sn 0.750 0.242 0.875 1
Sn7 Sn 0.750 0.258 0.375 1
Sn8 Sn 0.758 0.750 0.125 1
Bi1 Bi 0.000 0.000 0.500 1
Bi2 Bi 0.000 0.500 0.750 1
Bi3 Bi 0.500 0.000 0.250 1
Bi4 Bi 0.500 0.500 0.000 1